Entry 1:
ZnCuSbO4: relaxed, GGA-PBE.

a b c (Å): 6.328 6.328 6.328
angles (deg): 123.95 120.05 86.61
Element x y z (fractional)
Zn  0.410  0.160  0.250
Zn  0.590  0.840  0.750
Cu  0.000  0.000  0.500
Cu  0.000  0.500  0.000
Sb  0.000  0.500  0.500
Sb  0.500  0.500  0.000
O  0.201  0.719  0.482
O  0.262  0.281  0.982
O  0.264  0.282  0.518
O  0.264  0.746  0.982
O  0.736  0.254  0.018
O  0.736  0.718  0.482
O  0.738  0.719  0.018
O  0.799  0.281  0.518

Results
DFT total energy (eV per atom): -5.271
Formation energy without anion corrections (eV/atom): -1.082
Symmetry: Imma
Total moment (Bohr magnetons per cell): 0.59
Calculated volume (Å³/cell): 173.19


Entry 2:
BeReTc2: relaxed, GGA-PBE.

a b c (Å): 2.656 2.656 8.356
angles (deg): 90.00 90.00 113.01
Element x y z (fractional)
Be  0.000  0.000  0.000
Re  0.000  0.000  0.500
Tc  0.500  0.500  0.229
Tc  0.500  0.500  0.771

Results
DFT total energy (eV per atom): -9.043
Formation enthalpy at 0 K (meV per atom): 184
Symmetry: Cmmm
Total moment (Bohr magnetons per cell): 0.00
Calculated volume (Å³/cell): 54.27


Entry 3:
BaZn3C4O12: relaxed, GGA-PBE.

a b c (Å): 6.298 6.298 6.298
angles (deg): 102.07 102.07 102.07
Element x y z (fractional)
Ba  0.000  0.000  0.000
Zn  0.000  0.543  0.457
Zn  0.457  0.000  0.543
Zn  0.543  0.457  0.000
C  0.046  0.500  0.954
C  0.500  0.500  0.500
C  0.500  0.954  0.046
C  0.954  0.046  0.500
O  0.012  0.597  0.794
O  0.089  0.911  0.500
O  0.206  0.403  0.988
O  0.367  0.633  0.500
O  0.403  0.988  0.206
O  0.500  0.089  0.911
O  0.500  0.367  0.633
O  0.597  0.794  0.012
O  0.633  0.500  0.367
O  0.794  0.012  0.597
O  0.911  0.500  0.089
O  0.988  0.206  0.403

Results
DFT total energy (eV per atom): -6.674
Formation energy without anion corrections (eV/atom): -1.567
Symmetry: R32
Total moment (Bohr magnetons per cell): 0.00
Calculated volume (Å³/cell): 230.39


Entry 4:
TaNb2Pt: relaxed, GGA-PBE.

a b c (Å): 4.622 4.622 4.622
angles (deg): 60.00 60.00 60.00
Element x y z (fractional)
Ta  0.000  0.000  0.000
Nb  0.250  0.250  0.250
Nb  0.750  0.750  0.750
Pt  0.500  0.500  0.500

Results
DFT total energy (eV per atom): -9.732
Formation enthalpy at 0 K (meV per atom): -224
Symmetry: Fm-3m
Total moment (Bohr magnetons per cell): 0.00
Calculated volume (Å³/cell): 69.82
E above lowest polymorph (eV/f.u.): 0.37


Entry 5:
AsCl: relaxed, GGA-PBE.

a b c (Å): 4.955 4.955 4.955
angles (deg): 37.02 37.02 37.02
Element x y z (fractional)
As  0.000  0.000  0.000
Cl  0.500  0.500  0.500

Results
DFT total energy (eV per atom): -2.901
Formation energy without anion corrections (eV/atom): 0.347
Symmetry: R-3m
Total moment (Bohr magnetons per cell): 0.00
Calculated volume (Å³/cell): 39.52


Entry 6:
CsCoHg2Bi: relaxed, GGA-PBE.

a b c (Å): 5.385 5.385 5.081
angles (deg): 90.00 90.00 90.00
Element x y z (fractional)
Cs  0.000  0.000  0.000
Co  0.500  0.500  0.500
Hg  0.000  0.500  0.500
Hg  0.500  0.000  0.500
Bi  0.500  0.500  0.000

Results
DFT total energy (eV per atom): -2.455
Formation enthalpy at 0 K (meV per atom): 34
Symmetry: P4/mmm
Total moment (Bohr magnetons per cell): 0.75
Calculated volume (Å³/cell): 147.37


Entry 7:
BaTbTe2F: relaxed, GGA-PBE.

a b c (Å): 4.462 4.462 15.894
angles (deg): 90.00 90.00 90.00
Element x y z (fractional)
Ba  0.250  0.250  0.095
Ba  0.750  0.750  0.905
Tb  0.250  0.250  0.616
Tb  0.750  0.750  0.384
Te  0.250  0.250  0.410
Te  0.250  0.250  0.795
Te  0.750  0.750  0.205
Te  0.750  0.750  0.590
F  0.250  0.750  0.000
F  0.750  0.250  0.000

Results
DFT total energy (eV per atom): -5.116
Formation energy without anion corrections (eV/atom): -2.175
Symmetry: P4/nmm
Total moment (Bohr magnetons per cell): 0.00
Calculated volume (Å³/cell): 316.48


Entry 8:
K3Pm3AuO8: relaxed, GGA-PBE.

a b c (Å): 7.045 7.045 7.520
angles (deg): 118.10 118.10 60.59
Element x y z (fractional)
K  0.000  0.000  0.000
K  0.000  0.500  0.000
K  0.500  0.000  0.000
Pm  0.000  0.500  0.500
Pm  0.500  0.000  0.500
Pm  0.500  0.500  0.500
Au  0.000  0.000  0.500
O  0.205  0.205  0.672
O  0.225  0.740  0.688
O  0.260  0.775  0.312
O  0.269  0.269  0.314
O  0.731  0.731  0.686
O  0.740  0.225  0.688
O  0.775  0.260  0.312
O  0.795  0.795  0.328

Results
DFT total energy (eV per atom): -6.108
Formation energy without anion corrections (eV/atom): -2.076
Symmetry: C2/m
Total moment (Bohr magnetons per cell): 1.01
Calculated volume (Å³/cell): 272.51


> Which of these has the highest total moment?

K3Pm3AuO8